Density functional theory data (PBE) for a geometry-optimized BC structure.

Results
Polymorph energy (0 for the lowest one)   262 meV per atom
Energy of formation   413 meV/atom

Cell lengths 12.854, 2.682, 4.708 Å; angles 90.00, 95.55, 90.00 degrees
Space group Cm (No. 8)
Inequivalent atoms, fractional coordinates:
B (0.000, 0.000, 0.000) [2 per cell]
B (0.014, 0.500, 0.583) [2 per cell]
B (0.062, 0.500, 0.229) [2 per cell]
B (0.204, 0.000, 0.425) [2 per cell]
B (0.355, 0.500, 0.850) [2 per cell]
B (0.395, 0.500, 0.219) [2 per cell]
C (0.061, 0.000, 0.722) [2 per cell]
C (0.181, 0.000, 0.766) [2 per cell]
C (0.187, 0.500, 0.247) [2 per cell]
C (0.222, 0.500, 0.929) [2 per cell]
C (0.371, 0.000, 0.681) [2 per cell]
C (0.391, 0.000, 0.389) [2 per cell]

=====

Density functional theory data (PBE) for a geometry-optimized B3C2 structure.

Results
Polymorph energy (0 for the lowest one)   190 meV per atom
Energy of formation   401 meV/atom

Cell lengths 2.6371, 2.6371, 38.4670 Å; angles 90.00, 90.00, 120.00 degrees
Space group R3m (No. 160, hexagonal axes)
Inequivalent atoms, fractional coordinates:
B (0.0000, 0.0000, 0.0000) [3 per cell]
B (0.0000, 0.0000, 0.0436) [3 per cell]
B (0.0000, 0.0000, 0.4037) [3 per cell]
B (0.0000, 0.0000, 0.6406) [3 per cell]
B (0.0000, 0.0000, 0.7812) [3 per cell]
B (0.0000, 0.0000, 0.8706) [3 per cell]
C (0.0000, 0.0000, 0.2095) [3 per cell]
C (0.0000, 0.0000, 0.2527) [3 per cell]
C (0.0000, 0.0000, 0.4448) [3 per cell]
C (0.0000, 0.0000, 0.5992) [3 per cell]

=====

Density functional theory data (PBE) for a geometry-optimized BC structure.

Results
Polymorph energy (0 for the lowest one)   229 meV per atom
Energy of formation   380 meV/atom

Cell lengths 8.052, 2.575, 4.332 Å; angles 90.00, 119.68, 90.00 degrees
Space group Cm (No. 8)
Inequivalent atoms, fractional coordinates:
B (0.000, 0.000, 0.000) [2 per cell]
B (0.022, 0.500, 0.316) [2 per cell]
B (0.220, 0.500, 0.813) [2 per cell]
C (0.193, 0.000, 0.985) [2 per cell]
C (0.317, 0.500, 0.564) [2 per cell]
C (0.342, 0.000, 0.395) [2 per cell]

=====

Density functional theory data (PBE) for a geometry-optimized BC structure.

Results
Polymorph energy (0 for the lowest one)   141 meV per atom
Energy of formation   292 meV/atom

Cell lengths 4.767, 2.767, 5.673 Å; angles 90.00, 106.00, 90.00 degrees
Space group C2/m (No. 12)
Inequivalent atoms, fractional coordinates:
B (0.198, 0.000, 0.343) [4 per cell]
C (0.129, 0.000, 0.649) [4 per cell]

=====

Density functional theory data (PBE) for a geometry-optimized B7C5 structure.

Results
Polymorph energy (0 for the lowest one)   289 meV per atom
Energy of formation   453 meV/atom

Cell lengths 2.6402, 2.6402, 15.1778 Å; angles 90.00, 90.00, 120.00 degrees
Space group P3m1 (No. 156)
Inequivalent atoms, fractional coordinates:
B (0.0000, 0.0000, 0.0000) [1 per cell]
B (0.0000, 0.0000, 0.1115) [1 per cell]
B (0.0000, 0.0000, 0.6488) [1 per cell]
B (0.3333, 0.6667, 0.1823) [1 per cell]
B (0.3333, 0.6667, 0.2973) [1 per cell]
B (0.3333, 0.6667, 0.7163) [1 per cell]
B (0.6667, 0.3333, 0.5370) [1 per cell]
C (0.0000, 0.0000, 0.5459) [1 per cell]
C (0.3333, 0.6667, 0.8198) [1 per cell]
C (0.6667, 0.3333, 0.2998) [1 per cell]
C (0.6667, 0.3333, 0.8558) [1 per cell]
C (0.6667, 0.3333, 0.9545) [1 per cell]

=====

Density functional theory data (PBE) for a geometry-optimized BC structure.

Results
Polymorph energy (0 for the lowest one)   256 meV per atom
Energy of formation   406 meV/atom

Cell lengths 2.5725, 2.5725, 14.0091 Å; angles 90.00, 90.00, 120.00 degrees
Space group P-3m1 (No. 164)
Inequivalent atoms, fractional coordinates:
B (0.0000, 0.0000, 0.0598) [2 per cell]
B (0.3333, 0.6667, 0.1345) [2 per cell]
B (0.3333, 0.6667, 0.6009) [2 per cell]
C (0.0000, 0.0000, 0.4496) [2 per cell]
C (0.3333, 0.6667, 0.2479) [2 per cell]
C (0.3333, 0.6667, 0.7162) [2 per cell]

=====

Density functional theory data (PBE) for a geometry-optimized BC structure.

Results
Polymorph energy (0 for the lowest one)   219 meV per atom
Energy of formation   370 meV/atom

Cell lengths 2.452, 2.481, 13.111 Å; angles 90.00, 90.00, 90.00 degrees
Space group Pmm2 (No. 25)
Inequivalent atoms, fractional coordinates:
B (0.000, 0.000, 0.000) [1 per cell]
B (0.000, 0.000, 0.359) [1 per cell]
B (0.000, 0.500, 0.461) [1 per cell]
B (0.500, 0.000, 0.261) [1 per cell]
B (0.500, 0.000, 0.896) [1 per cell]
B (0.500, 0.500, 0.159) [1 per cell]
C (0.000, 0.000, 0.679) [1 per cell]
C (0.000, 0.500, 0.077) [1 per cell]
C (0.000, 0.500, 0.749) [1 per cell]
C (0.500, 0.000, 0.609) [1 per cell]
C (0.500, 0.500, 0.543) [1 per cell]
C (0.500, 0.500, 0.816) [1 per cell]

=====

Density functional theory data (PBE) for a geometry-optimized B3C2 structure.

Results
Polymorph energy (0 for the lowest one)   150 meV per atom
Energy of formation   361 meV/atom

Cell lengths 2.749, 3.436, 4.607 Å; angles 84.13, 87.61, 69.73 degrees
Space group P1 (No. 1)
Inequivalent atoms, fractional coordinates:
B (0.000, 0.000, 0.000) [1 per cell]
B (0.177, 0.439, 0.073) [1 per cell]
B (0.709, 0.249, 0.575) [1 per cell]
C (0.210, 0.240, 0.748) [1 per cell]
C (0.732, 0.295, 0.240) [1 per cell]

=====

Density functional theory data (PBE) for a geometry-optimized B3C7 structure.

Results
Polymorph energy (0 for the lowest one)   57 meV per atom
Energy of formation   319 meV/atom

Cell lengths 8.794, 2.511, 6.472 Å; angles 90.00, 117.80, 90.00 degrees
Space group Cm (No. 8)
Inequivalent atoms, fractional coordinates:
B (0.000, 0.000, 0.000) [2 per cell]
B (0.061, 0.500, 0.636) [2 per cell]
B (0.359, 0.000, 0.805) [2 per cell]
C (0.074, 0.500, 0.359) [2 per cell]
C (0.175, 0.000, 0.790) [2 per cell]
C (0.193, 0.000, 0.041) [2 per cell]
C (0.269, 0.500, 0.419) [2 per cell]
C (0.287, 0.500, 0.181) [2 per cell]
C (0.359, 0.000, 0.554) [2 per cell]
C (0.479, 0.500, 0.248) [2 per cell]

=====

Density functional theory data (PBE) for a geometry-optimized BC structure.

Results
Polymorph energy (0 for the lowest one)   214 meV per atom
Energy of formation   365 meV/atom

Cell lengths 2.682, 2.608, 11.883 Å; angles 90.00, 90.00, 90.00 degrees
Space group Pmma (No. 51)
Inequivalent atoms, fractional coordinates:
B (0.250, 0.000, 0.062) [2 per cell]
B (0.250, 0.000, 0.686) [2 per cell]
B (0.250, 0.500, 0.804) [2 per cell]
C (0.250, 0.000, 0.389) [2 per cell]
C (0.250, 0.500, 0.126) [2 per cell]
C (0.250, 0.500, 0.461) [2 per cell]

=====

Density functional theory data (PBE) for a geometry-optimized B9C structure.

Results
Polymorph energy (0 for the lowest one)   2283 meV per atom
Energy of formation   2519 meV/atom

Cell lengths 15.209, 15.209, 8.742 Å; angles 90.00, 90.00, 90.00 degrees
Space group I4/mmm (No. 139)
Inequivalent atoms, fractional coordinates:
B (0.000, 0.000, 0.000) [2 per cell]
B (0.000, 0.447, 0.000) [8 per cell]
B (0.000, 0.500, 0.158) [8 per cell]
C (0.000, 0.000, 0.500) [2 per cell]

=====

Density functional theory data (PBE) for a geometry-optimized B3C structure.

Results
Polymorph energy (0 for the lowest one)   270 meV per atom
Energy of formation   511 meV/atom

Cell lengths 2.6464, 2.6464, 16.0959 Å; angles 90.00, 90.00, 120.00 degrees
Space group P3m1 (No. 156)
Inequivalent atoms, fractional coordinates:
B (0.0000, 0.0000, 0.0000) [1 per cell]
B (0.0000, 0.0000, 0.1039) [1 per cell]
B (0.3333, 0.6667, 0.1694) [1 per cell]
B (0.3333, 0.6667, 0.2740) [1 per cell]
B (0.3333, 0.6667, 0.6003) [1 per cell]
B (0.3333, 0.6667, 0.8297) [1 per cell]
B (0.6667, 0.3333, 0.3431) [1 per cell]
B (0.6667, 0.3333, 0.4485) [1 per cell]
B (0.6667, 0.3333, 0.9347) [1 per cell]
C (0.0000, 0.0000, 0.4918) [1 per cell]
C (0.0000, 0.0000, 0.5882) [1 per cell]
C (0.6667, 0.3333, 0.8370) [1 per cell]